No. 1
The following is a DFT calculation (PBE) of an optimized crystal structure of RbMnSb2S.

The value obtained for the size of the total moment is 4.34 μB per cell. The calculation puts the formation energy (no corrections) at 1.5870 eV/atom. As for the volume: 39.81 A^3/atom.

It has space group P4/mmm (No. 123), with a = 6.027 Å, b = 6.027 Å, c = 5.480 Å, α = 90.00°, β = 90.00° and γ = 90.00°. The distinct sites, in fractional coordinates, are Rb at (0.000, 0.000, 0.000), Mn at (0.500, 0.500, 0.500), Sb at (0.000, 0.500, 0.000) and S at (0.000, 0.000, 0.500).

No. 2
The following is a DFT calculation (PBE) of an optimized crystal structure of LaPuOs.

The value obtained for the size of the total moment is 9.64 μB per cell. The total energy comes out at -60.59 eV per cell. As for the volume: 24.30 A^3/atom.

It has space group I4mm (No. 107), with a = 3.619 Å, b = 3.619 Å, c = 11.135 Å, α = 90.00°, β = 90.00° and γ = 90.00°. The distinct sites, in fractional coordinates, are La at (0.000, 0.000, 0.000), Pu at (0.000, 0.000, 0.287) and Os at (0.000, 0.000, 0.687).

No. 3
The following is a DFT calculation (PBE) of an optimized crystal structure of Nd2Sm6Dy3.

The value obtained for the size of the total moment is 0.00 μB per cell. The total energy comes out at -97.27 eV per cell. As for the volume: 35.26 A^3/atom.

It has space group I4/mmm (No. 139), with a = 4.790 Å, b = 4.790 Å, c = 33.814 Å, α = 90.00°, β = 90.00° and γ = 90.00°. The distinct sites, in fractional coordinates, are Nd at (0.000, 0.000, 0.046), Sm at (0.000, 0.000, 0.198), Sm at (0.000, 0.500, 0.122), Dy at (0.000, 0.000, 0.300) and Dy at (0.000, 0.000, 0.500).